Pm2GdGe: relaxed, PBE.

## Properties
Offset from the most stable computed form: 0 meV/atom
E_form: -1.41 eV per formula unit
Space group: P4/mmm (123)
N(E_F): 3.77 states/eV/f.u.
Raw total energy: -29.61 eV per cell
Size of the total moment: 7.8 μB per formula unit

```
Pm2GdGe
1.0
4.784 0.000 0.000
0.000 4.784 0.000
0.000 0.000 4.719
Pm Gd Ge
2 1 1
Direct
0.000 0.500 0.000
0.500 0.000 0.000
0.000 0.000 0.500
0.500 0.500 0.500
```